The following is a PBE+U calculation of an optimized crystal structure of MnNbSnO6, from the Alexandria database.

a = 5.2800 Å, b = 5.2800 Å, c = 8.9530 Å
α = 90.00°, β = 90.00°, γ = 120.00°
With the nearest neighbours (Å) after each atom.
Sites, in units of the cell vectors:
Mn (0.0000, 0.0000, 0.0000)  6 O 2.12
Mn (0.0000, 0.0000, 0.5000)  6 O 2.12
Nb (0.3333, 0.6667, 0.2500)  6 O 2.02
Nb (0.6667, 0.3333, 0.7500)  6 O 2.02
Sn (0.3333, 0.6667, 0.7500)  6 O 2.09
Sn (0.6667, 0.3333, 0.2500)  6 O 2.09
O (0.0103, 0.3431, 0.1284)  1 Nb 2.02, 1 Sn 2.09, 1 Mn 2.12
O (0.0103, 0.6671, 0.3716)  1 Nb 2.02, 1 Sn 2.09, 1 Mn 2.12
O (0.3329, 0.3431, 0.3716)  1 Nb 2.02, 1 Sn 2.09, 1 Mn 2.12
O (0.3329, 0.9897, 0.1284)  1 Nb 2.02, 1 Sn 2.09, 1 Mn 2.12
O (0.3431, 0.0103, 0.6284)  1 Nb 2.02, 1 Sn 2.09, 1 Mn 2.12
O (0.3431, 0.3329, 0.8716)  1 Nb 2.02, 1 Sn 2.09, 1 Mn 2.12
O (0.6569, 0.6671, 0.1284)  1 Nb 2.02, 1 Sn 2.09, 1 Mn 2.12
O (0.6569, 0.9897, 0.3716)  1 Nb 2.02, 1 Sn 2.09, 1 Mn 2.12
O (0.6671, 0.0103, 0.8716)  1 Nb 2.02, 1 Sn 2.09, 1 Mn 2.12
O (0.6671, 0.6569, 0.6284)  1 Nb 2.02, 1 Sn 2.09, 1 Mn 2.12
O (0.9897, 0.3329, 0.6284)  1 Nb 2.02, 1 Sn 2.09, 1 Mn 2.12
O (0.9897, 0.6569, 0.8716)  1 Nb 2.02, 1 Sn 2.09, 1 Mn 2.12

## Properties
Total DFT energy (no corrections), eV per atom: -7.48
Space-group type: P-31c
Spin magnetization, μB per atom: 0.44